[1]
Entry from the Alexandria database: crystalline Ba4YU3O12 at its relaxed geometry (PBE).

Calculated values
The density of states at the Fermi level comes out at 10.727 states/eV/f.u. For the energy relative to the elements, uncorrected, the calculation gives -3.128 eV/atom. As for the space-group type: Im-3m (229). The total magnetization is 5.0 μB/cell.

a b c (Å): 7.6834 7.6834 7.6834
angles (deg): 109.47 109.47 109.47
Atoms (fractional coordinates):
Ba  0.5000  0.5000  0.5000
Ba  0.0000  0.0000  0.5000
Ba  0.5000  0.0000  0.0000
Ba  0.0000  0.5000  0.0000
Y  0.0000  0.0000  0.0000
U  0.5000  0.0000  0.5000
U  0.5000  0.5000  0.0000
U  0.0000  0.5000  0.5000
O  0.2500  0.5000  0.7500
O  0.7442  0.0000  0.7442
O  0.2558  0.0000  0.2558
O  0.7500  0.5000  0.2500
O  0.7442  0.7442  0.0000
O  0.2558  0.2558  0.0000
O  0.7500  0.2500  0.5000
O  0.2500  0.7500  0.5000
O  0.5000  0.2500  0.7500
O  0.0000  0.7442  0.7442
O  0.5000  0.7500  0.2500
O  0.0000  0.2558  0.2558

[2]
Entry from the Alexandria database: crystalline Ba2YU3O12 at its relaxed geometry (PBE).

Calculated values
The density of states at the Fermi level comes out at 8.683 states/eV/f.u. For the energy relative to the elements, uncorrected, the calculation gives -3.151 eV/atom. As for the space-group type: R-3m (166). The total magnetization is 1.0 μB/cell.

a b c (Å): 7.9113 7.9113 7.9113
angles (deg): 62.00 62.00 62.00
Atoms (fractional coordinates):
Ba  0.6887  0.6887  0.6887
Ba  0.3113  0.3113  0.3113
Y  0.0000  0.0000  0.0000
U  0.5000  0.0000  0.0000
U  0.0000  0.5000  0.0000
U  0.0000  0.0000  0.5000
O  0.3123  0.3123  0.9591
O  0.9251  0.9251  0.3388
O  0.3388  0.9251  0.9251
O  0.9591  0.3123  0.3123
O  0.9251  0.3388  0.9251
O  0.3123  0.9591  0.3123
O  0.6877  0.6877  0.0409
O  0.0749  0.0749  0.6612
O  0.6612  0.0749  0.0749
O  0.0409  0.6877  0.6877
O  0.0749  0.6612  0.0749
O  0.6877  0.0409  0.6877

[3]
Entry from the Alexandria database: crystalline Ba3YU2O9 at its relaxed geometry (PBE).

Calculated values
The density of states at the Fermi level comes out at 7.853 states/eV/f.u. For the energy relative to the elements, uncorrected, the calculation gives -3.158 eV/atom. As for the space-group type: P-3m1 (164). The total magnetization is 3.0 μB/cell.

a b c (Å): 6.2564 6.2564 7.6728
angles (deg): 90.00 90.00 120.00
Atoms (fractional coordinates):
Ba  0.3333  0.6667  0.6583
Ba  0.0000  0.0000  0.0000
Ba  0.6667  0.3333  0.3417
Y  0.0000  0.0000  0.5000
U  0.3333  0.6667  0.1686
U  0.6667  0.3333  0.8314
O  0.8299  0.1701  0.6698
O  0.8299  0.6598  0.6698
O  0.3402  0.1701  0.6698
O  0.6598  0.8299  0.3302
O  0.1701  0.3402  0.3302
O  0.1701  0.8299  0.3302
O  0.5000  0.0000  0.0000
O  0.0000  0.5000  0.0000
O  0.5000  0.5000  0.0000

[4]
Entry from the Alexandria database: crystalline BaUZn2O6 at its relaxed geometry (PBE).

Calculated values
The density of states at the Fermi level comes out at 0.000 states/eV/f.u. For the energy relative to the elements, uncorrected, the calculation gives -2.347 eV/atom. As for the space-group type: C2/c (15). The total magnetization is 0.0 μB/cell.

a b c (Å): 6.6751 7.5433 7.5433
angles (deg): 86.27 73.48 73.48
Atoms (fractional coordinates):
Ba  0.2500  0.8996  0.1004
Ba  0.7500  0.1004  0.8996
U  0.2500  0.2850  0.7150
U  0.7500  0.7150  0.2850
Zn  0.3595  0.7660  0.6354
Zn  0.1405  0.3646  0.2340
Zn  0.6405  0.2340  0.3646
Zn  0.8595  0.6354  0.7660
O  0.2085  0.0091  0.7571
O  0.2915  0.2429  0.9909
O  0.7915  0.9909  0.2429
O  0.7085  0.7571  0.0091
O  0.4255  0.7873  0.3615
O  0.0745  0.6385  0.2127
O  0.5745  0.2127  0.6385
O  0.9255  0.3615  0.7873
O  0.1945  0.5855  0.7190
O  0.3055  0.2810  0.4145
O  0.8055  0.4145  0.2810
O  0.6945  0.7190  0.5855

[5]
Entry from the Alexandria database: crystalline Ba3UZn2O8 at its relaxed geometry (PBE).

Calculated values
For the energy relative to the elements, uncorrected, the calculation gives -2.448 eV/atom. As for the space-group type: P-3m1 (164). The total magnetization is 0.0 μB/cell.

a b c (Å): 5.9839 5.9839 7.7582
angles (deg): 90.00 90.00 120.00
Atoms (fractional coordinates):
Ba  0.3333  0.6667  0.6640
Ba  0.6667  0.3333  0.3360
Ba  0.0000  0.0000  0.0000
U  0.0000  0.0000  0.5000
Zn  0.3333  0.6667  0.2064
Zn  0.6667  0.3333  0.7936
O  0.3333  0.6667  0.9698
O  0.6667  0.3333  0.0302
O  0.1624  0.8376  0.3397
O  0.8376  0.1624  0.6603
O  0.1624  0.3248  0.3397
O  0.8376  0.6752  0.6603
O  0.6752  0.8376  0.3397
O  0.3248  0.1624  0.6603

[6]
Entry from the Alexandria database: crystalline Ba2UZn2O6 at its relaxed geometry (PBE).

Calculated values
For the energy relative to the elements, uncorrected, the calculation gives -2.413 eV/atom. As for the space-group type: R-3m (166). The total magnetization is 0.0 μB/cell.

a b c (Å): 6.0040 6.0040 7.7888
angles (deg): 67.33 67.33 60.00
Atoms (fractional coordinates):
Ba  0.7231  0.7231  0.8308
Ba  0.2769  0.2769  0.1692
U  0.0000  0.0000  0.0000
Zn  0.4432  0.4432  0.6703
Zn  0.5568  0.5568  0.3297
O  0.7766  0.7766  0.1621
O  0.2848  0.7766  0.1621
O  0.7766  0.2848  0.1621
O  0.2234  0.7152  0.8379
O  0.7152  0.2234  0.8379
O  0.2234  0.2234  0.8379

Question: What is the energy relative to the elements, uncorrected in the second record?
Answer: -3.151 eV/atom